(1)
DFT (GGA-PBE) results for a relaxed TaFeIr2 crystal.

Cell lengths 2.761, 2.761, 7.647 Å; angles 90.00, 90.00, 90.00 degrees
Site moments in Bohr magnetons follow the coordinates.
Element x y z (fractional)
Fe  0.500  0.500  0.765  1.68
Ir  0.500  0.500  0.243  -0.19
Ir  0.000  0.000  0.984  0.05
Ta  0.000  0.000  0.509  -0.06

Computed properties:
Its space-group type is No. 99.

=====

(2)
DFT (GGA-PBE) results for a relaxed Ta2FeIr2 crystal.

Cell lengths 7.404, 7.404, 3.000 Å; angles 90.00, 90.00, 90.00 degrees
Element x y z (fractional)
Ir  0.367  0.867  0.000
Ir  0.133  0.367  0.000
Ir  0.867  0.633  0.000
Ir  0.633  0.133  0.000
Ta  0.832  0.332  0.500
Ta  0.332  0.168  0.500
Ta  0.668  0.832  0.500
Ta  0.168  0.668  0.500
Fe  0.000  0.000  0.000
Fe  0.500  0.500  0.000

Computed properties:
Its space-group type is No. 127.

=====

(3)
DFT (GGA-PBE) results for a relaxed TaFeIr2 crystal.

Cell lengths 4.811, 4.811, 4.811 Å; angles 132.95, 132.94, 68.74 degrees
Site moments in Bohr magnetons follow the coordinates.
Element x y z (fractional)
Fe  0.250  0.750  0.500  2.14
Ir  0.750  0.250  0.500  0.11
Ir  0.000  0.000  0.000  0.14
Ta  0.500  0.500  0.000  -0.17

Computed properties:
Its space-group type is No. 119.

=====

(4)
DFT (GGA-PBE) results for a relaxed TaFeIr4 crystal.

Cell lengths 5.130, 5.130, 5.130 Å; angles 60.00, 60.00, 60.00 degrees
Site moments in Bohr magnetons follow the coordinates.
Element x y z (fractional)
Ta  0.750  0.750  0.750  -0.17
Fe  0.000  0.000  0.000  3.08
Ir  0.876  0.375  0.375  0.21
Ir  0.375  0.876  0.375  0.21
Ir  0.375  0.375  0.375  0.21
Ir  0.375  0.375  0.876  0.21

Computed properties:
Its space-group type is No. 216.

=====

(5)
DFT (GGA-PBE) results for a relaxed TaFeIr2 crystal.

Cell lengths 9.063, 9.063, 9.063 Å; angles 17.61, 17.61, 17.61 degrees
Site moments in Bohr magnetons follow the coordinates.
Element x y z (fractional)
Ta  0.499  0.499  0.499  -0.08
Ir  0.251  0.251  0.251  -0.13
Ir  0.004  0.004  0.004  -0.04
Fe  0.746  0.746  0.746  2.29

Computed properties:
Its space-group type is No. 160.

=====

(6)
DFT (GGA-PBE) results for a relaxed TaTi2FeIr crystal.

Cell lengths 4.296, 4.657, 4.296 Å; angles 90.00, 90.00, 90.00 degrees
Element x y z (fractional)
Ir  0.500  0.500  0.500
Ti  0.000  0.000  0.500
Ti  0.500  0.000  0.000
Fe  0.000  0.000  0.000
Ta  0.000  0.500  0.000

Computed properties:
Its space-group type is No. 123.

=====

(7)
DFT (GGA-PBE) results for a relaxed Ta2Ti5Fe2Ir crystal.

Cell lengths 2.982, 10.274, 10.274 Å; angles 90.00, 90.00, 90.00 degrees
Element x y z (fractional)
Ir  0.000  0.500  0.500
Ir  0.000  0.000  0.000
Ti  0.500  0.795  0.943
Ti  0.500  0.000  0.500
Ti  0.500  0.295  0.557
Ti  0.500  0.057  0.795
Ti  0.500  0.443  0.295
Ti  0.500  0.205  0.057
Ti  0.500  0.557  0.705
Ti  0.500  0.500  0.000
Ti  0.500  0.943  0.205
Ti  0.500  0.705  0.443
Fe  0.000  0.368  0.132
Fe  0.000  0.632  0.868
Fe  0.000  0.868  0.368
Fe  0.000  0.132  0.632
Ta  0.000  0.178  0.322
Ta  0.000  0.822  0.678
Ta  0.000  0.678  0.178
Ta  0.000  0.322  0.822

Computed properties:
Its space-group type is No. 127.

=====

(8)
DFT (GGA-PBE) results for a relaxed TmTaFeIr crystal.

Cell lengths 4.576, 4.576, 4.576 Å; angles 60.00, 60.00, 60.00 degrees
Site moments in Bohr magnetons follow the coordinates.
Element x y z (fractional)
Ir  0.250  0.250  0.250  0.08
Fe  0.750  0.750  0.750  1.50
Ta  0.000  0.000  0.000  -0.24
Tm  0.500  0.500  0.500  -0.16

Computed properties:
Its space-group type is No. 216.

=====

| no. | magnetic moment (μB/f.u.) | Fermi-level density of states (states/eV/f.u.) | ΔH_f (0 K) (eV per atom) |
| --- | --- | --- | --- |
| 1 | 1.45 | 4.74 | -0.105 |
| 2 | 0.00 | 9.30 | -0.067 |
| 3 | 2.20 | 4.98 | -0.368 |
| 4 | 3.70 | 6.34 | 0.056 |
| 5 | 2.00 | 5.20 | 0.008 |
| 6 | 0.00 | 7.52 | 0.375 |
| 7 | 0.00 | 9.73 | -0.253 |
| 8 | 1.08 | 2.60 | -0.316 |